NaVS4 after structural relaxation. Source: the Alexandria database, functional PBE.

Geometry as POSCAR:
```
NaVS4
1.0
-4.6692 3.5865 -1.7418
-5.0762 -5.1172 -1.0681
-4.3387 -2.0140 5.4142
Na V S
2 2 8
Cartesian
-6.5368 0.2815 -0.1992
-7.5473 -3.8262 2.8035
-5.2852 -1.1841 4.2493
-8.7989 -2.3605 -1.6450
-9.9272 0.3232 3.3875
-3.7180 -1.2145 2.5520
-10.7636 -4.1087 3.5401
-5.6556 -1.5158 1.9930
-8.4285 -2.0289 0.6112
-3.3205 0.5640 -0.9358
-10.3661 -2.3302 0.0523
-4.1569 -3.8679 -0.7832
```

Summary:
space group: No. 15
energy: -61.9 eV/cell
DOS at the Fermi energy: 1.658 states/eV per cell

Na2AgPdF6 after structural relaxation. Source: the Alexandria database, functional PBE.

Geometry as POSCAR:
```
Na2AgPdF6
1.0
-2.3126 -4.7365 -2.4891
2.2821 -2.2076 -4.8192
3.0904 -5.3578 0.3371
Na Ag Pd F
2 1 1 6
Cartesian
1.2578 -5.8683 -3.7106
2.9351 -5.1665 0.1291
1.6892 -8.6129 -5.7756
0.0928 -2.4003 -2.3539
-0.1202 -4.6277 -2.3619
2.4713 -4.4919 -5.1413
-0.1919 -7.1395 -5.0462
3.0305 -7.6911 -4.0390
1.1517 -7.6912 -1.9745
3.0402 -5.5520 -2.1037
```

Summary:
space group: No. 1
relative energy among the computed polymorphs: 0 meV per atom
DOS at the Fermi energy: 1.014 states/eV per cell

BaCa2LaH after structural relaxation. Source: the Alexandria database, functional PBE.

Geometry as POSCAR:
```
BaCa2LaH
1.0
-3.7110 0.9744 -3.7179
-0.6654 -5.2529 -0.7126
-4.1787 -0.0352 4.1617
H Ca Ba La
1 2 1 1
Cartesian
0.0000 0.0000 0.0000
-0.3327 -2.6265 -0.3563
-1.8555 0.4872 -1.8589
-2.0894 -0.0176 2.0809
-4.2776 -2.1568 -0.1344
```

Summary:
space group: No. 123
relative energy among the computed polymorphs: 28 meV per atom
DOS at the Fermi energy: 7.090 states/eV per cell

LiTcAs after structural relaxation. Source: the Alexandria database, functional PBE.

Geometry as POSCAR:
```
LiTcAs
1.0
-1.7051 0.5748 -4.2672
-3.3826 -2.7108 -1.6299
0.9962 2.5124 3.7606
As Li Tc
1 1 1
Cartesian
-0.0373 -0.0157 -0.0433
-1.7002 -0.7138 -1.9707
-3.3502 -1.4065 -3.8831
```

Summary:
space group: No. 107
relative energy among the computed polymorphs: 234 meV per atom
energy of formation from the pure elements: -159 meV/atom
DOS at the Fermi energy: 2.335 states/eV per cell

Mn2B2W after structural relaxation. Source: the Alexandria database, functional PBE.

Geometry as POSCAR:
```
Mn2B2W
1.0
5.9095 0.0000 0.0000
0.0000 5.9095 0.0000
0.0000 0.0000 2.7703
B Mn W
4 4 2
Cartesian
2.2351 5.1899 0.0000
5.1899 3.6744 0.0000
3.6744 0.7197 0.0000
0.7197 2.2351 0.0000
0.9265 3.8813 1.3852
3.8813 4.9830 1.3852
4.9830 2.0283 1.3852
2.0283 0.9265 1.3852
0.0000 0.0000 0.0000
2.9548 2.9548 0.0000
```

Summary:
space group: No. 127
relative energy among the computed polymorphs: 25 meV per atom
energy of formation from the pure elements: -208 meV/atom
DOS at the Fermi energy: 6.969 states/eV per cell

PmErAlPt after structural relaxation. Source: the Alexandria database, functional PBE.

Geometry as POSCAR:
```
PmErAlPt
1.0
-2.8092 0.3910 4.2124
1.4317 -2.4023 4.2389
1.7273 2.6600 3.9661
Pm Al Pt Er
1 1 1 1
Cartesian
0.0000 0.0000 0.0000
0.0875 0.1622 3.1043
0.2624 0.4865 9.3130
0.1749 0.3244 6.2087
```

Summary:
space group: No. 216
energy of formation from the pure elements: -688 meV/atom
DOS at the Fermi energy: 2.428 states/eV per cell

DyLuNiOs after structural relaxation. Source: the Alexandria database, functional PBE.

Geometry as POSCAR:
```
DyLuNiOs
1.0
4.7490 0.0000 0.0000
2.3745 4.1128 0.0000
2.3745 1.3709 3.8776
Ni Lu Os Dy
1 1 1 1
Cartesian
7.1235 4.1128 2.9082
0.0000 0.0000 0.0000
2.3745 1.3709 0.9694
4.7490 2.7419 1.9388
```

Summary:
space group: No. 216
energy of formation from the pure elements: -355 meV/atom
DOS at the Fermi energy: 1.640 states/eV per cell

La2Cd2Ni after structural relaxation. Source: the Alexandria database, functional PBE.

Geometry as POSCAR:
```
La2Cd2Ni
1.0
7.0943 0.0000 0.0000
0.0000 7.0943 0.0000
0.0000 0.0000 5.1976
Ni Cd La
2 4 4
Cartesian
0.0000 0.0000 0.0000
3.5472 3.5472 0.0000
2.5120 6.0592 0.0000
6.0592 4.5823 0.0000
4.5823 1.0352 0.0000
1.0352 2.5120 0.0000
1.1810 4.7282 2.5988
4.7282 5.9133 2.5988
5.9133 2.3662 2.5988
2.3662 1.1810 2.5988
```

Summary:
space group: No. 127
energy of formation from the pure elements: -69 meV/atom
DOS at the Fermi energy: 6.413 states/eV per cell

PrTh2Zn6 after structural relaxation. Source: the Alexandria database, functional PBE.

Geometry as POSCAR:
```
PrTh2Zn6
1.0
3.5473 0.0958 -0.1494
-0.3526 6.9294 -3.9312
0.3374 -0.0517 7.9672
Pr Th Zn
1 2 6
Cartesian
-0.0152 6.8778 4.0360
0.1075 2.2760 4.0022
3.4247 4.6975 -0.1155
1.7686 2.3438 1.2736
1.7635 4.6297 2.6131
1.6459 6.9421 1.3013
1.8762 4.6131 5.2733
1.9934 2.3088 6.5806
1.8863 0.0315 2.5854
```

Summary:
space group: No. 191
energy of formation from the pure elements: -294 meV/atom
DOS at the Fermi energy: 9.040 states/eV per cell

CrSn after structural relaxation. Source: the Alexandria database, functional PBE.

Geometry as POSCAR:
```
CrSn
1.0
-1.4899 5.1198 3.2151
-3.4989 -3.4307 3.8416
4.9303 -0.8875 3.6979
Cr Sn
4 4
Cartesian
-0.0146 0.2004 2.6887
0.7010 -1.9586 6.4584
1.7055 2.3166 6.1452
-2.5091 1.0450 6.2170
0.0000 0.0000 0.0000
0.7157 -2.1591 3.7698
1.7202 2.1162 3.4565
-2.4944 0.8446 3.5284
```

Summary:
space group: No. 216
energy of formation from the pure elements: 1169 meV/atom
DOS at the Fermi energy: 16.790 states/eV per cell

TbPrNd4Dy2 after structural relaxation. Source: the Alexandria database, functional PBE.

Geometry as POSCAR:
```
TbPrNd4Dy2
1.0
-1.8969 2.9179 -1.0920
-3.3030 -3.6216 -3.9394
-9.0918 -3.2218 7.1838
Tb Pr Nd Dy
1 1 4 2
Cartesian
-2.6000 -0.3518 -2.5157
-6.1974 -3.4217 1.6222
-9.3086 -5.1367 2.4438
-4.9832 1.2112 -0.2915
-5.6772 -2.0599 -1.7346
-8.6145 -1.8655 3.8869
-9.0918 -3.2218 7.1838
-5.4943 -0.1519 3.0459
```

Summary:
space group: No. 10
energy of formation from the pure elements: 16 meV/atom
DOS at the Fermi energy: 11.418 states/eV per cell

NiOsCl2 after structural relaxation. Source: the Alexandria database, functional PBE.

Geometry as POSCAR:
```
NiOsCl2
1.0
3.0355 -0.0017 0.0000
-1.6613 2.5405 0.0000
0.0000 0.0000 9.3275
Ni Os Cl
1 1 2
Cartesian
0.0000 0.0000 4.7555
0.6871 1.2694 6.8045
0.0000 0.0000 8.7201
0.6871 1.2694 3.0387
```

Summary:
space group: No. 35
relative energy among the computed polymorphs: 229 meV per atom
DOS at the Fermi energy: 6.268 states/eV per cell

MgZr2Ta after structural relaxation. Source: the Alexandria database, functional PBE.

Geometry as POSCAR:
```
MgZr2Ta
1.0
2.9612 0.0018 0.0000
-0.8017 2.8506 0.0000
0.0000 0.0000 10.0551
Mg Ta Zr
1 1 2
Cartesian
0.0000 0.0000 5.1530
1.0797 1.4262 7.5906
0.0000 0.0000 9.9231
1.0797 1.4262 2.4710
```

Summary:
space group: No. 35
energy of formation from the pure elements: 156 meV/atom
DOS at the Fermi energy: 4.538 states/eV per cell

YIn2TeO8 after structural relaxation. Source: the Alexandria database, functional PBE.

Geometry as POSCAR:
```
YIn2TeO8
1.0
-2.5328 1.6737 3.8482
-4.1493 -1.4110 -2.1944
0.4962 -6.0774 2.9699
Y In Te O
1 2 1 8
Cartesian
0.2481 -3.0387 1.4849
-2.9654 -4.4741 3.0776
-3.2204 -1.3405 1.5461
0.0000 0.0000 0.0000
-3.7407 -2.1505 -0.4362
-4.7687 0.1861 1.1779
-2.7277 -0.2076 3.3709
-2.4451 -3.6642 5.0599
-1.4171 -6.0008 3.4458
-3.4580 -5.6071 1.2528
-4.3143 -2.8613 2.6094
-1.8715 -2.9533 2.0143
```

Summary:
space group: No. 10
energy: -74.4 eV/cell
DOS at the Fermi energy: 5.121 states/eV per cell

Sr3SnBr6Cl2 after structural relaxation. Source: the Alexandria database, functional PBE.

Geometry as POSCAR:
```
Sr3SnBr6Cl2
1.0
-0.9404 -5.5581 -3.3865
5.3358 -4.3500 5.6577
-8.5714 1.0016 1.8366
Sr Sn Br Cl
3 1 6 2
Cartesian
2.6679 -2.1750 2.8289
-2.0880 -4.4532 2.0539
-4.7559 -2.2783 -0.7749
-0.4702 -2.7791 -1.6932
-0.4262 -5.4811 -0.3319
-3.7498 -3.4254 4.4398
-2.0831 -7.1304 3.4996
-2.0929 -1.7761 0.6083
-6.4393 -1.2328 1.5881
2.2632 -7.6737 2.5198
0.4718 -4.0549 3.4546
-4.6479 -4.8516 0.6532
```

Summary:
space group: No. 12
energy: -45.0 eV/cell
DOS at the Fermi energy: 0.000 states/eV per cell

Tm4CdAg2Ir after structural relaxation. Source: the Alexandria database, functional PBE.

Geometry as POSCAR:
```
Tm4CdAg2Ir
1.0
5.0305 0.0000 0.0000
2.5152 4.3565 0.0000
2.5152 1.4522 8.2125
Tm Cd Ag Ir
4 1 2 1
Cartesian
5.0304 2.9043 6.9450
7.5457 4.3565 3.2579
2.5152 1.4522 4.9546
5.0305 2.9043 1.2674
0.0000 0.0000 0.0000
7.5457 4.3565 6.3650
2.5152 1.4522 1.8474
5.0305 2.9043 4.1062
```

Summary:
space group: No. 166
energy of formation from the pure elements: -521 meV/atom
DOS at the Fermi energy: 5.161 states/eV per cell

La2TbNd3 after structural relaxation. Source: the Alexandria database, functional PBE.

Geometry as POSCAR:
```
La2TbNd3
1.0
-5.2827 4.0152 2.3160
-3.0655 -7.0514 -5.4310
0.3271 -3.2307 6.3472
La Tb Nd
4 2 6
Cartesian
-3.6401 -4.5920 -0.1615
-3.3871 -6.2753 2.9729
-4.6340 0.0084 0.2593
-4.3810 -1.6749 3.3937
-3.8199 2.1578 3.2973
-1.1357 -1.3733 5.3659
-3.6377 0.5283 6.4627
-1.3179 0.2561 2.2004
-6.3998 -4.6517 3.9861
-1.3864 -3.2848 2.3884
-6.6347 -2.9822 0.8437
-1.6213 -1.6152 -0.7539
```

Summary:
space group: No. 15
relative energy among the computed polymorphs: 0 meV per atom
energy of formation from the pure elements: 122 meV/atom
DOS at the Fermi energy: 16.683 states/eV per cell

Th3Mn3Bi after structural relaxation. Source: the Alexandria database, functional PBE.

Geometry as POSCAR:
```
Th3Mn3Bi
1.0
-3.7522 2.0573 -0.1541
-4.5715 -8.1913 1.9534
2.8432 5.7206 7.1416
Th Mn Bi
6 6 2
Cartesian
-3.6416 0.2622 2.9341
-5.3577 -2.6275 6.1383
-5.7428 -3.6677 1.6292
-1.8388 -0.6756 6.0068
-0.1228 2.2141 2.8026
0.2624 3.2544 7.3117
-2.4370 2.3176 1.0437
-0.6660 6.0082 7.1911
-4.2244 -0.4470 7.6550
-3.0434 -2.7309 7.8972
-4.8145 -6.4216 1.7498
-1.2560 0.0336 1.2858
-2.4425 2.6263 5.2966
-3.0380 -3.0397 3.6443
```

Summary:
space group: No. 176
energy of formation from the pure elements: -105 meV/atom
DOS at the Fermi energy: 12.019 states/eV per cell